# 1
Density functional theory data (meta-GGA SCAN) for SrRe2GeB at its PBEsol-relaxed geometry.

Results
Formation enthalpy at 0 K (eV/atom): 0.7689

Cell: 4.165 4.165 5.013 Å, 90.00 90.00 90.00°
Space group P4/mmm (No. 123)
Inequivalent atoms, fractional coordinates:
Sr1 0.000 0.000 0.000 (multiplicity 1)
Re1 0.000 0.500 0.500 (multiplicity 2)
Ge1 0.500 0.500 0.000 (multiplicity 1)
B1 0.000 0.000 0.500 (multiplicity 1)

***

# 2
Density functional theory data (meta-GGA SCAN) for Y2GeBRh at its PBEsol-relaxed geometry.

Results
Formation enthalpy at 0 K (eV/atom): 0.5480

Cell: 5.260 5.260 4.395 Å, 90.00 90.00 90.00°
Space group P4/mmm (No. 123)
Inequivalent atoms, fractional coordinates:
Y1 0.000 0.500 0.000 (multiplicity 2)
Ge1 0.000 0.000 0.000 (multiplicity 1)
B1 0.500 0.500 0.500 (multiplicity 1)
Rh1 0.000 0.000 0.500 (multiplicity 1)

***

# 3
Density functional theory data (meta-GGA SCAN) for SiGeBRu2 at its PBEsol-relaxed geometry.

Results
Formation energy without anion corrections (eV/atom): 0.914

Cell: 4.440 4.440 3.655 Å, 90.00 90.00 90.00°
Space group P4/mmm (No. 123)
Inequivalent atoms, fractional coordinates:
Si1 0.000 0.000 0.000 (multiplicity 1)
Ge1 0.500 0.500 0.500 (multiplicity 1)
B1 0.000 0.000 0.500 (multiplicity 1)
Ru1 0.000 0.500 0.000 (multiplicity 2)

***

# 4
Density functional theory data (meta-GGA SCAN) for SiGeB2S at its PBEsol-relaxed geometry.

Results
Formation energy without anion corrections (eV/atom): 1.456

Cell: 3.809 3.809 4.635 Å, 90.00 90.00 90.00°
Space group P4/mmm (No. 123)
Inequivalent atoms, fractional coordinates:
Si1 0.000 0.000 0.000 (multiplicity 1)
Ge1 0.500 0.500 0.000 (multiplicity 1)
B1 0.000 0.500 0.500 (multiplicity 2)
S1 0.000 0.000 0.500 (multiplicity 1)